Record 1
Computed, not measured: a relaxed structure of AlSbO2F at the PBE level of DFT.

Summary:
**Electronic total energy**: -4.94 eV/atom
**Uncorrected formation energy**: -1.012 eV/atom
**Density of states at the Fermi level**: 0.690 states/eV/f.u.
**Crystal system**: tetragonal

Geometry as extended XYZ:
```
5
Lattice="4.155 0.000 0.000 0.000 4.155 0.000 0.000 0.000 4.475" Properties=species:S:1:pos:R:3 pbc="T T T"
Sb 0.000 0.000 0.000
Al 2.077 2.077 2.237
O 0.000 2.077 0.000
O 2.077 0.000 0.000
F 0.000 0.000 2.237
```

Record 2
Computed, not measured: a relaxed structure of AlSbOF2 at the PBE level of DFT.

Summary:
**Electronic total energy**: -4.56 eV/atom
**Uncorrected formation energy**: -1.245 eV/atom
**Density of states at the Fermi level**: 0.100 states/eV/f.u.
**Crystal system**: tetragonal

Geometry as extended XYZ:
```
5
Lattice="-0.023 -4.584 -0.082 3.990 0.020 -2.260 2.103 -0.077 3.712" Properties=species:S:1:pos:R:3 pbc="T T T"
Sb 0.000 0.000 0.000
Al 3.035 -2.321 0.685
O 1.051 -0.038 1.856
F 1.995 0.010 -1.130
F -0.012 -2.292 -0.041
```

Record 3
Computed, not measured: a relaxed structure of AlSbOF2 at the PBE level of DFT.

Summary:
**Electronic total energy**: -5.10 eV/atom
**Uncorrected formation energy**: -1.788 eV/atom
**Density of states at the Fermi level**: 1.356 states/eV/f.u.
**Crystal system**: tetragonal

Geometry as extended XYZ:
```
5
Lattice="-0.828 -0.068 4.303 -4.089 -1.352 -0.809 1.057 -3.288 0.151" Properties=species:S:1:pos:R:3 pbc="T T T"
Sb -1.930 -2.354 1.823
Al 0.000 0.000 0.000
O 0.529 -1.644 0.076
F -2.045 -0.676 -0.404
F -0.414 -0.034 2.151
```